No. 1
This record from Alexandria via LeMat-Bulk describes a relaxed structure of La4Al5Br2. The functional is PBE-GGA.

Values from the calculation:
The volume comes out at 613.8 Å³ per cell. The space group is Cmmm. The total DFT energy (no corrections) is -4.67 eV per atom.

Cell: 11.8745 11.8745 4.3619 Å, 90.00 90.00 93.70°
Last column: nearest neighbours and their distance in Å.
Positions (direct):
1 Al 0.8978 0.5287 0.0000  3 Al 2.56-2.57
2 Al 0.1022 0.4713 0.0000  3 Al 2.56-2.57
3 Al 0.4209 0.4209 0.5000  3 Al 2.57
4 Al 0.2161 0.4798 0.5000  3 Al 2.57
5 Al 0.5287 0.8978 0.0000  3 Al 2.56-2.57
6 Al 0.7839 0.5202 0.5000  3 Al 2.57
7 Al 0.4713 0.1022 0.0000  3 Al 2.56-2.57
8 Al 0.5791 0.5791 0.5000  3 Al 2.57
9 Al 0.4798 0.2161 0.5000  3 Al 2.57
10 Al 0.5202 0.7839 0.5000  3 Al 2.57
11 La 0.3233 0.9594 0.5000  3 Br 3.16-3.17, 6 Al 3.22-3.47
12 La 0.6767 0.0406 0.5000  3 Br 3.16-3.17, 6 Al 3.22-3.47
13 La 0.9594 0.3233 0.5000  3 Br 3.16-3.17, 6 Al 3.22-3.47
14 La 0.6353 0.3647 0.0000  10 Al 3.30-3.57, 1 Br 3.30
15 La 0.7344 0.7344 0.0000  2 Br 3.17, 8 Al 3.22-3.43
16 La 0.3647 0.6353 0.0000  10 Al 3.30-3.57, 1 Br 3.30
17 La 0.0406 0.6767 0.5000  3 Br 3.16-3.17, 6 Al 3.22-3.47
18 La 0.2656 0.2656 0.0000  2 Br 3.17, 8 Al 3.22-3.43
19 Br 0.8258 0.1742 0.0000  5 La 3.17-3.30
20 Br 0.8760 0.8760 0.5000  4 La 3.16-3.17
21 Br 0.1742 0.8258 0.0000  5 La 3.17-3.30
22 Br 0.1240 0.1240 0.5000  4 La 3.16-3.17


No. 2
This record from Alexandria via LeMat-Bulk describes a relaxed structure of LaPaAu2. The functional is PBE-GGA.

Values from the calculation:
The volume comes out at 100.5 Å³ per cell. The space group is Fm-3m. The total DFT energy (no corrections) is -5.63 eV per atom. Its formation energy is -0.38 eV/atom.

Cell: 5.2183 5.2183 5.2183 Å, 60.00 60.00 60.00°
Last column: nearest neighbours and their distance in Å.
Positions (direct):
1 Au 0.2500 0.2500 0.2500  4 Pa 3.20, 4 La 3.20
2 Au 0.7500 0.7500 0.7500  4 Pa 3.20, 4 La 3.20
3 Pa 0.5000 0.5000 0.5000  8 Au 3.20
4 La 0.0000 0.0000 0.0000  8 Au 3.20


No. 3
This record from Alexandria via LeMat-Bulk describes a relaxed structure of Tb2Er5Ru4. The functional is PBE-GGA.

Values from the calculation:
The volume comes out at 272.0 Å³ per cell. The space group is C2/m. The total DFT energy (no corrections) is -6.14 eV per atom. Its formation energy is 0.15 eV/atom.

Cell: 3.3081 6.4933 13.6792 Å, 110.98 96.94 90.00°
Last column: nearest neighbours and their distance in Å.
Positions (direct):
1 Er 0.1975 0.9548 0.3949  3 Ru 2.75-3.07
2 Er 0.1415 0.3746 0.2831  3 Ru 2.86-2.88
3 Er 0.5000 0.0000 0.0000  4 Ru 2.70
4 Er 0.8585 0.6254 0.7169  3 Ru 2.86-2.88
5 Er 0.8025 0.0452 0.6051  3 Ru 2.75-3.07
6 Tb 0.0720 0.7660 0.1441  2 Ru 2.51-2.69
7 Tb 0.9280 0.2340 0.8559  2 Ru 2.51-2.69
8 Ru 0.9664 0.6480 0.9329  2 Tb 2.51-2.69, 2 Er 2.70
9 Ru 0.2715 0.3773 0.5430  5 Er 2.75-3.07, 2 Ru 2.83
10 Ru 0.0336 0.3520 0.0671  2 Tb 2.51-2.69, 2 Er 2.70
11 Ru 0.7285 0.6227 0.4570  5 Er 2.75-3.07, 2 Ru 2.83


No. 4
This record from Alexandria via LeMat-Bulk describes a relaxed structure of Tl2InSbAu6. The functional is PBE-GGA.

Values from the calculation:
The volume comes out at 510.0 Å³ per cell. The space group is Pmmn. The total DFT energy (no corrections) is -3.14 eV per atom.

Cell: 7.1114 8.6315 8.3084 Å, 90.00 90.00 90.00°
Last column: nearest neighbours and their distance in Å.
Positions (direct):
1 Au 0.7355 0.9967 0.0000  4 Au 2.77-2.78, 1 In 2.84, 1 Sb 3.02
2 Au 0.7897 0.4762 0.5000  1 Sb 2.69, 1 In 2.71, 1 Au 2.99
3 Au 0.0000 0.9455 0.7593  1 Sb 2.77, 4 Au 2.77-2.78, 1 In 2.80, 1 Tl 3.07
4 Au 0.5000 0.0545 0.2593  1 Sb 2.77, 4 Au 2.77-2.78, 1 In 2.80, 1 Tl 3.07
5 Au 0.7103 0.5238 0.0000  1 Sb 2.69, 1 In 2.71, 1 Au 2.99
6 Au 0.2103 0.4762 0.5000  1 Sb 2.69, 1 In 2.71, 1 Au 2.99
7 Au 0.5000 0.0545 0.7407  1 Sb 2.77, 4 Au 2.77-2.78, 1 In 2.80, 1 Tl 3.07
8 Au 0.2897 0.5238 0.0000  1 Sb 2.69, 1 In 2.71, 1 Au 2.99
9 Au 0.0000 0.9455 0.2407  1 Sb 2.77, 4 Au 2.77-2.78, 1 In 2.80, 1 Tl 3.07
10 Au 0.7645 0.0033 0.5000  4 Au 2.77-2.78, 1 In 2.84, 1 Sb 3.02
11 Au 0.2645 0.9967 0.0000  4 Au 2.77-2.78, 1 In 2.84, 1 Sb 3.02
12 Au 0.2355 0.0033 0.5000  4 Au 2.77-2.78, 1 In 2.84, 1 Sb 3.02
13 Sb 0.0000 0.7237 0.0000  4 Au 2.69-2.77
14 Sb 0.5000 0.2763 0.5000  4 Au 2.69-2.77
15 In 0.5000 0.2618 0.0000  6 Au 2.71-2.84
16 In 0.0000 0.7382 0.5000  6 Au 2.71-2.84
17 Tl 0.5000 0.6992 0.2758  5 Au 3.07-3.38
18 Tl 0.5000 0.6992 0.7242  5 Au 3.07-3.38
19 Tl 0.0000 0.3008 0.7758  5 Au 3.07-3.38
20 Tl 0.0000 0.3008 0.2242  5 Au 3.07-3.38


No. 5
This record from Alexandria via LeMat-Bulk describes a relaxed structure of Pr3GaGe2. The functional is PBE-GGA.

Values from the calculation:
The volume comes out at 347.8 Å³ per cell. The space group is R-3c. The total DFT energy (no corrections) is -5.03 eV per atom. Its formation energy is -0.60 eV/atom.

Cell: 7.6340 7.6340 7.6340 Å, 64.83 64.83 64.83°
Last column: nearest neighbours and their distance in Å.
Positions (direct):
1 Ge 0.8399 0.8399 0.8399  1 Ga 2.88, 6 Pr 3.09-3.10
2 Ge 0.3399 0.3399 0.3399  1 Ga 2.88, 6 Pr 3.09-3.10
3 Ge 0.6601 0.6601 0.6601  1 Ga 2.88, 6 Pr 3.09-3.10
4 Ge 0.1601 0.1601 0.1601  1 Ga 2.88, 6 Pr 3.09-3.10
5 Ga 0.5000 0.5000 0.5000  2 Ge 2.88, 6 Pr 3.16
6 Ga 0.0000 0.0000 0.0000  2 Ge 2.88, 6 Pr 3.16
7 Pr 0.7500 0.4285 0.0715  4 Ge 3.09-3.10, 2 Ga 3.16
8 Pr 0.2500 0.5715 0.9285  4 Ge 3.09-3.10, 2 Ga 3.16
9 Pr 0.4285 0.0715 0.7500  4 Ge 3.09-3.10, 2 Ga 3.16
10 Pr 0.0715 0.7500 0.4285  4 Ge 3.09-3.10, 2 Ga 3.16
11 Pr 0.5715 0.9285 0.2500  4 Ge 3.09-3.10, 2 Ga 3.16
12 Pr 0.9285 0.2500 0.5715  4 Ge 3.09-3.10, 2 Ga 3.16


No. 6
This record from Alexandria via LeMat-Bulk describes a relaxed structure of Al2In2GaPt5. The functional is PBE-GGA.

Values from the calculation:
The volume comes out at 348.3 Å³ per cell. The space group is P4/mbm. The total DFT energy (no corrections) is -5.22 eV per atom. Its formation energy is -0.60 eV/atom.

Cell: 2.8517 11.0513 11.0513 Å, 90.00 90.00 90.00°
Last column: nearest neighbours and their distance in Å.
Positions (direct):
1 Pt 0.5000 0.6209 0.6617  2 Al 2.60, 2 Ga 2.65, 2 In 2.84, 2 Pt 2.85
2 Pt 0.5000 0.5000 0.0000  4 Al 2.66, 4 In 2.83, 2 Pt 2.85
3 Pt 0.5000 0.1209 0.8383  2 Al 2.60, 2 Ga 2.65, 2 In 2.84, 2 Pt 2.85
4 Pt 0.5000 0.3791 0.3383  2 Al 2.60, 2 Ga 2.65, 2 In 2.84, 2 Pt 2.85
5 Pt 0.5000 0.1617 0.1209  2 Al 2.60, 2 Ga 2.65, 2 In 2.84, 2 Pt 2.85
6 Pt 0.5000 0.8791 0.1617  2 Al 2.60, 2 Ga 2.65, 2 In 2.84, 2 Pt 2.85
7 Pt 0.5000 0.3383 0.6209  2 Al 2.60, 2 Ga 2.65, 2 In 2.84, 2 Pt 2.85
8 Pt 0.5000 0.0000 0.5000  4 Al 2.66, 4 In 2.83, 2 Pt 2.85
9 Pt 0.5000 0.8383 0.8791  2 Al 2.60, 2 Ga 2.65, 2 In 2.84, 2 Pt 2.85
10 Pt 0.5000 0.6617 0.3791  2 Al 2.60, 2 Ga 2.65, 2 In 2.84, 2 Pt 2.85
11 Al 0.0000 0.6434 0.8566  6 Pt 2.60-2.66, 2 Al 2.85
12 Al 0.0000 0.8566 0.3566  6 Pt 2.60-2.66, 2 Al 2.85
13 Al 0.0000 0.3566 0.1434  6 Pt 2.60-2.66, 2 Al 2.85
14 Al 0.0000 0.1434 0.6434  6 Pt 2.60-2.66, 2 Al 2.85
15 In 0.0000 0.3434 0.8434  6 Pt 2.83-2.84, 2 In 2.85, 1 Al 3.13
16 In 0.0000 0.8434 0.6566  6 Pt 2.83-2.84, 2 In 2.85, 1 Al 3.13
17 In 0.0000 0.6566 0.1566  6 Pt 2.83-2.84, 2 In 2.85, 1 Al 3.13
18 In 0.0000 0.1566 0.3434  6 Pt 2.83-2.84, 2 In 2.85, 1 Al 3.13
19 Ga 0.0000 0.0000 0.0000  8 Pt 2.65, 2 Ga 2.85
20 Ga 0.0000 0.5000 0.5000  8 Pt 2.65, 2 Ga 2.85


No. 7
This record from Alexandria via LeMat-Bulk describes a relaxed structure of TiGeAu2. The functional is PBE-GGA.

Values from the calculation:
The volume comes out at 72.1 Å³ per cell. The space group is P4/mmm. The total DFT energy (no corrections) is -4.94 eV per atom. Its formation energy is -0.17 eV/atom.

Cell: 3.0857 3.0857 7.5746 Å, 90.00 90.00 90.00°
Last column: nearest neighbours and their distance in Å.
Positions (direct):
1 Au 0.0000 0.0000 0.2358  4 Ti 2.82, 4 Ge 2.96, 4 Au 3.09
2 Au 0.0000 0.0000 0.7642  4 Ti 2.82, 4 Ge 2.96, 4 Au 3.09
3 Ge 0.5000 0.5000 0.5000  8 Au 2.96, 4 Ge 3.09
4 Ti 0.5000 0.5000 0.0000  8 Au 2.82, 4 Ti 3.09


No. 8
This record from Alexandria via LeMat-Bulk describes a relaxed structure of LaMnNbP2. The functional is PBE-GGA.

Values from the calculation:
The volume comes out at 94.0 Å³ per cell. The space group is I-4m2. The total DFT energy (no corrections) is -7.90 eV per atom. Its formation energy is -0.90 eV/atom.

Cell: 3.8974 3.8974 6.7723 Å, 106.72 106.72 90.00°
Last column: nearest neighbours and their distance in Å.
Positions (direct):
1 Nb 0.2500 0.7500 0.5000  4 P 2.47, 4 Mn 2.76
2 P 0.6270 0.6270 0.2540  2 Nb 2.47, 2 Mn 2.47
3 P 0.3730 0.3730 0.7460  2 Mn 2.47, 2 Nb 2.47
4 La 0.0000 0.0000 0.0000  8 P 3.17
5 Mn 0.7500 0.2500 0.5000  4 P 2.47, 4 Nb 2.76